Record 1
# ThScCuAg, optimized geometry, DFT PBE
data_ThScCuAg
_chemical_formula_sum 'Th4 Sc4 Cu4 Ag4'
_space_group_name_H-M_alt 'F -4 3 m'
_space_group_IT_number 216
_space_group_name_Hall 'F -4 2 3'
_cell_length_a 7.093
_cell_length_b 7.093
_cell_length_c 7.093
_cell_angle_alpha 90.00
_cell_angle_beta 90.00
_cell_angle_gamma 90.00
loop_
_atom_site_label
_atom_site_fract_x
_atom_site_fract_y
_atom_site_fract_z
_atom_site_occupancy
Th1 0.000 0.000 0.000 1
Sc1 0.000 0.000 0.500 1
Cu1 0.250 0.250 0.250 1
Ag1 0.250 0.250 0.750 1
# Calculated density (g/cm³): 8.346
# Crystal system: cubic
# Raw total energy (eV/atom): -5.26

***

Record 2
# Sc4ZnCu2Ag, optimized geometry, DFT PBE
data_Sc4ZnCu2Ag
_chemical_formula_sum 'Sc12 Zn3 Cu6 Ag3'
_space_group_name_H-M_alt 'R -3 m'
_space_group_IT_number 166
_space_group_name_Hall '-R 3 2"'
_cell_length_a 4.7131
_cell_length_b 4.7131
_cell_length_c 23.1155
_cell_angle_alpha 90.00
_cell_angle_beta 90.00
_cell_angle_gamma 120.00
loop_
_atom_site_label
_atom_site_fract_x
_atom_site_fract_y
_atom_site_fract_z
_atom_site_occupancy
Sc1 0.0000 0.0000 0.1232 1
Sc2 0.0000 0.0000 0.3734 1
Zn1 0.0000 0.0000 0.0000 1
Cu1 0.0000 0.0000 0.2516 1
Ag1 0.0000 0.0000 0.5000 1
# Calculated density (g/cm³): 5.379
# Crystal system: trigonal
# Raw total energy (eV/atom): -4.99

***

Record 3
# Sc2Zn6CuAg, optimized geometry, DFT PBE
data_Sc2Zn6CuAg
_chemical_formula_sum 'Sc2 Zn6 Cu1 Ag1'
_space_group_name_H-M_alt 'P -1'
_space_group_IT_number 2
_cell_length_a 4.973
_cell_length_b 5.954
_cell_length_c 6.533
_cell_angle_alpha 114.70
_cell_angle_beta 94.25
_cell_angle_gamma 101.83
loop_
_space_group_symop_operation_xyz
'x,y,z'
'-x,-y,-z'
loop_
_atom_site_label
_atom_site_fract_x
_atom_site_fract_y
_atom_site_fract_z
_atom_site_occupancy
Sc1 0.097 0.287 0.234 1
Zn1 0.216 0.737 0.159 1
Zn2 0.349 0.455 0.785 1
Zn3 0.418 0.792 0.569 1
Cu1 0.500 0.000 0.000 1
Ag1 0.000 0.000 0.500 1
# Calculated density (g/cm³): 6.416
# Crystal system: triclinic
# Raw total energy (eV/atom): -2.87

***

Record 4
# CuAgSe, optimized geometry, DFT PBE
data_CuAgSe
_chemical_formula_sum 'Cu4 Ag4 Se4'
_space_group_name_H-M_alt 'P 1 21/c 1'
_space_group_IT_number 14
_cell_length_a 6.377
_cell_length_b 6.764
_cell_length_c 5.132
_cell_angle_alpha 90.00
_cell_angle_beta 93.84
_cell_angle_gamma 90.00
loop_
_space_group_symop_operation_xyz
'x,y,z'
'-x,-y,-z'
'-x,y+1/2,-z+1/2'
'x,-y+1/2,z+1/2'
loop_
_atom_site_label
_atom_site_fract_x
_atom_site_fract_y
_atom_site_fract_z
_atom_site_occupancy
Cu1 0.016 0.179 0.407 1
Ag1 0.339 0.617 0.806 1
Se1 0.247 0.046 0.795 1
# Calculated density (g/cm³): 7.530
# Formation energy from raw total energies (eV per atom): -0.062
# Crystal system: monoclinic

***

Record 5
# CuAg3Se2, optimized geometry, DFT PBE
data_CuAg3Se2
_chemical_formula_sum 'Cu4 Ag12 Se8'
_space_group_name_H-M_alt 'I b a m'
_space_group_IT_number 72
_space_group_name_Hall '-I 2 2c'
_cell_length_a 4.780
_cell_length_b 13.071
_cell_length_c 8.058
_cell_angle_alpha 90.00
_cell_angle_beta 90.00
_cell_angle_gamma 90.00
loop_
_atom_site_label
_atom_site_fract_x
_atom_site_fract_y
_atom_site_fract_z
_atom_site_occupancy
Cu1 0.000 0.000 0.000 1
Ag1 0.000 0.163 0.250 1
Ag2 0.000 0.500 0.250 1
Se1 0.172 0.363 0.000 1
# Calculated density (g/cm³): 7.192
# Formation energy from raw total energies (eV per atom): -0.044
# Crystal system: orthorhombic

***

Record 6
# Cu2Ag3Se4, optimized geometry, DFT PBE
data_Cu2Ag3Se4
_chemical_formula_sum 'Cu8 Ag12 Se16'
_space_group_name_H-M_alt 'C 1 2/c 1'
_space_group_IT_number 15
_cell_length_a 12.192
_cell_length_b 8.315
_cell_length_c 7.942
_cell_angle_alpha 90.00
_cell_angle_beta 96.74
_cell_angle_gamma 90.00
loop_
_space_group_symop_operation_xyz
'x,y,z'
'-x,-y,-z'
'-x,y,-z+1/2'
'x,-y,z+1/2'
'x+1/2,y+1/2,z'
'-x+1/2,-y+1/2,-z'
'-x+1/2,y+1/2,-z+1/2'
'x+1/2,-y+1/2,z+1/2'
loop_
_atom_site_label
_atom_site_fract_x
_atom_site_fract_y
_atom_site_fract_z
_atom_site_occupancy
Cu1 0.229 0.101 0.085 1
Ag1 0.000 0.095 0.750 1
Ag2 0.101 0.385 0.389 1
Se1 0.089 0.310 0.966 1
Se2 0.166 0.092 0.356 1
# Calculated density (g/cm³): 6.367
# Formation energy from raw total energies (eV per atom): -0.035
# Crystal system: monoclinic

***

Record 7
# CuAg2Se2, optimized geometry, DFT PBE
data_CuAg2Se2
_chemical_formula_sum 'Cu4 Ag8 Se8'
_space_group_name_H-M_alt 'P 1 21/c 1'
_space_group_IT_number 14
_cell_length_a 9.877
_cell_length_b 6.660
_cell_length_c 6.469
_cell_angle_alpha 90.00
_cell_angle_beta 99.25
_cell_angle_gamma 90.00
loop_
_space_group_symop_operation_xyz
'x,y,z'
'-x,-y,-z'
'-x,y+1/2,-z+1/2'
'x,-y+1/2,z+1/2'
loop_
_atom_site_label
_atom_site_fract_x
_atom_site_fract_y
_atom_site_fract_z
_atom_site_occupancy
Cu1 0.108 0.072 0.128 1
Ag1 0.179 0.688 0.980 1
Ag2 0.481 0.722 0.498 1
Se1 0.091 0.077 0.748 1
Se2 0.354 0.013 0.242 1
# Calculated density (g/cm³): 6.915
# Formation energy from raw total energies (eV per atom): -0.049
# Crystal system: monoclinic

***

Record 8
# CuAg3Se, optimized geometry, DFT PBE
data_CuAg3Se
_chemical_formula_sum 'Cu1 Ag3 Se1'
_space_group_name_H-M_alt 'P m -3 m'
_space_group_IT_number 221
_space_group_name_Hall '-P 4 2 3'
_cell_length_a 4.802
_cell_length_b 4.802
_cell_length_c 4.802
_cell_angle_alpha 90.00
_cell_angle_beta 90.00
_cell_angle_gamma 90.00
loop_
_atom_site_label
_atom_site_fract_x
_atom_site_fract_y
_atom_site_fract_z
_atom_site_occupancy
Cu1 0.000 0.000 0.000 1
Ag1 0.000 0.000 0.500 1
Se1 0.500 0.500 0.500 1
# Calculated density (g/cm³): 6.989
# Formation energy from raw total energies (eV per atom): 0.564
# Crystal system: cubic

***

Record 9
# CuAgSe2, optimized geometry, DFT PBE
data_CuAgSe2
_chemical_formula_sum 'Cu2 Ag2 Se4'
_space_group_name_H-M_alt 'C 1 2/m 1'
_space_group_IT_number 12
_cell_length_a 5.662
_cell_length_b 7.497
_cell_length_c 4.687
_cell_angle_alpha 90.00
_cell_angle_beta 126.96
_cell_angle_gamma 90.00
loop_
_space_group_symop_operation_xyz
'x,y,z'
'-x,-y,-z'
'-x,y,-z'
'x,-y,z'
'x+1/2,y+1/2,z'
'-x+1/2,-y+1/2,-z'
'-x+1/2,y+1/2,-z'
'x+1/2,-y+1/2,z'
loop_
_atom_site_label
_atom_site_fract_x
_atom_site_fract_y
_atom_site_fract_z
_atom_site_occupancy
Cu1 0.000 0.000 0.000 1
Ag1 0.000 0.500 0.000 1
Se1 0.250 0.250 0.500 1
# Calculated density (g/cm³): 6.880
# Formation energy from raw total energies (eV per atom): 0.112
# Crystal system: monoclinic

***

Record 10
# CuAg2Se2, optimized geometry, DFT PBE
data_CuAg2Se2
_chemical_formula_sum 'Cu4 Ag8 Se8'
_space_group_name_H-M_alt 'C 1 2/m 1'
_space_group_IT_number 12
_cell_length_a 16.373
_cell_length_b 4.134
_cell_length_c 6.316
_cell_angle_alpha 90.00
_cell_angle_beta 101.47
_cell_angle_gamma 90.00
loop_
_space_group_symop_operation_xyz
'x,y,z'
'-x,-y,-z'
'-x,y,-z'
'x,-y,z'
'x+1/2,y+1/2,z'
'-x+1/2,-y+1/2,-z'
'-x+1/2,y+1/2,-z'
'x+1/2,-y+1/2,z'
loop_
_atom_site_label
_atom_site_fract_x
_atom_site_fract_y
_atom_site_fract_z
_atom_site_occupancy
Cu1 0.232 0.000 0.399 1
Ag1 0.070 0.000 0.181 1
Ag2 0.140 0.000 0.759 1
Se1 0.028 0.500 0.698 1
Se2 0.197 0.500 0.203 1
# Calculated density (g/cm³): 6.932
# Formation energy from raw total energies (eV per atom): -0.008
# Crystal system: monoclinic

***

Record 11
# CuAgSe, optimized geometry, DFT PBE
data_CuAgSe
_chemical_formula_sum 'Cu2 Ag2 Se2'
_space_group_name_H-M_alt 'P 1'
_space_group_IT_number 1
_cell_length_a 4.288
_cell_length_b 4.769
_cell_length_c 6.959
_cell_angle_alpha 94.91
_cell_angle_beta 90.00
_cell_angle_gamma 116.67
loop_
_space_group_symop_operation_xyz
'x,y,z'
loop_
_atom_site_label
_atom_site_fract_x
_atom_site_fract_y
_atom_site_fract_z
_atom_site_occupancy
Cu1 0.000 0.000 0.000 1
Cu2 0.294 0.591 0.917 1
Ag1 0.226 0.448 0.323 1
Ag2 0.784 0.571 0.654 1
Se1 0.097 0.199 0.659 1
Se2 0.491 0.981 0.169 1
# Calculated density (g/cm³): 6.569
# Formation energy from raw total energies (eV per atom): -0.058
# Crystal system: triclinic

***

Record 12
# CuAg4Se4, optimized geometry, DFT PBE
data_CuAg4Se4
_chemical_formula_sum 'Cu1 Ag4 Se4'
_space_group_name_H-M_alt 'P 1'
_space_group_IT_number 1
_cell_length_a 5.771
_cell_length_b 6.155
_cell_length_c 7.268
_cell_angle_alpha 75.83
_cell_angle_beta 75.05
_cell_angle_gamma 77.71
loop_
_space_group_symop_operation_xyz
'x,y,z'
loop_
_atom_site_label
_atom_site_fract_x
_atom_site_fract_y
_atom_site_fract_z
_atom_site_occupancy
Cu1 0.000 0.000 0.000 1
Ag1 0.330 0.893 0.395 1
Ag2 0.511 0.501 0.002 1
Ag3 0.616 0.099 0.764 1
Ag4 0.897 0.332 0.417 1
Se1 0.133 0.676 0.232 1
Se2 0.328 0.847 0.767 1
Se3 0.676 0.147 0.241 1
Se4 0.911 0.348 0.774 1
# Calculated density (g/cm³): 5.641
# Formation energy from raw total energies (eV per atom): -0.038
# Crystal system: triclinic